Entry 1:
Material: PrNd4
Method: DFT, PBE
State: relaxed

Cell: 3.6918 3.6918 26.1063 Å, 90.00 90.00 90.00°
Space group I4/mmm (No. 139)
Symmetry-distinct sites (fractional):
Pr1 0.0000 0.0000 0.0000
Nd1 0.0000 0.0000 0.2001
Nd2 0.0000 0.0000 0.3996

The relative energy among the computed polymorphs comes out at 1 meV/atom. Its crystal system is tetragonal.


Entry 2:
Material: Pr2NdPt2
Method: DFT, PBE
State: relaxed

Cell: 7.0637 7.0014 6.1733 Å, 90.00 114.07 90.00°
Space group C2/m (No. 12)
Symmetry-distinct sites (fractional):
Pr1 0.0000 0.2373 0.0000
Nd1 0.0000 0.5000 0.5000
Pt1 0.1687 0.0000 0.7081

The relative energy among the computed polymorphs comes out at 213 meV/atom. Its crystal system is monoclinic.


Entry 3:
Material: PrNd3Pt2
Method: DFT, PBE
State: relaxed

Cell: 16.8113 5.4283 7.5708 Å, 90.00 93.69 90.00°
Space group C2/m (No. 12)
Symmetry-distinct sites (fractional):
Pr1 0.1956 0.0000 0.3359
Nd1 0.0355 0.0000 0.7740
Nd2 0.1061 0.5000 0.5155
Nd3 0.1622 0.5000 0.9939
Pt1 0.0097 0.5000 0.1909
Pt2 0.2129 0.0000 0.7229

The relative energy among the computed polymorphs comes out at 43 meV/atom. Its crystal system is monoclinic.


Entry 4:
Material: Pr3Nd3Pt2
Method: DFT, PBE
State: relaxed

Cell: 3.9328 13.6832 18.9617 Å, 90.00 90.00 90.00°
Space group Cmcm (No. 63)
Symmetry-distinct sites (fractional):
Pr1 0.0000 0.0564 0.0907
Pr2 0.0000 0.2946 0.2500
Nd1 0.0000 0.3308 0.0570
Nd2 0.0000 0.4330 0.7500
Pt1 0.0000 0.2881 0.6345

Its crystal system is orthorhombic.


Entry 5:
Material: Pr2NdPt
Method: DFT, PBE
State: relaxed

Cell: 3.9504 12.2325 10.1563 Å, 90.00 90.00 90.00°
Space group Cmcm (No. 63)
Symmetry-distinct sites (fractional):
Pr1 0.0000 0.1382 0.0629
Nd1 0.0000 0.4203 0.2500
Pt1 0.0000 0.2679 0.7500

The relative energy among the computed polymorphs comes out at 28 meV/atom. Its crystal system is orthorhombic.


Entry 6:
Material: PrNd3Pt
Method: DFT, PBE
State: relaxed

Cell: 5.6845 5.6845 5.6845 Å, 90.00 90.00 90.00°
Space group Pm-3m (No. 221)
Symmetry-distinct sites (fractional):
Pr1 0.0000 0.0000 0.0000
Nd1 0.0000 0.5000 0.5000
Pt1 0.5000 0.5000 0.5000

The relative energy among the computed polymorphs comes out at 193 meV/atom. Its crystal system is cubic.


Entry 7:
Material: PrNd3Pt
Method: DFT, PBE
State: relaxed

Cell: 12.3813 3.9086 13.9677 Å, 90.00 111.77 90.00°
Space group Cm (No. 8)
Symmetry-distinct sites (fractional):
Pr1 0.0000 0.0000 0.0000
Pr2 0.1229 0.0000 0.2932
Nd1 0.1126 0.0000 0.6127
Nd2 0.2359 0.0000 0.9024
Nd3 0.2770 0.5000 0.1453
Nd4 0.3027 0.5000 0.5256
Nd5 0.4330 0.0000 0.3805
Nd6 0.4597 0.0000 0.7589
Pt1 0.2694 0.5000 0.7585
Pt2 0.4642 0.0000 0.1449

The relative energy among the computed polymorphs comes out at 0 meV/atom. Its crystal system is monoclinic.


Entry 8:
Material: PrNd3Pt8
Method: DFT, PBE
State: relaxed

Cell: 5.5300 5.5300 9.0753 Å, 90.00 90.00 120.00°
Space group P3m1 (No. 156)
Symmetry-distinct sites (fractional):
Pr1 0.0000 0.0000 0.0000
Nd1 0.0000 0.0000 0.3707
Nd2 0.6667 0.3333 0.4994
Nd3 0.6667 0.3333 0.8691
Pt1 0.1652 0.3305 0.6843
Pt2 0.3333 0.6667 0.4346
Pt3 0.3333 0.6667 0.9347
Pt4 0.5016 0.0032 0.1853

The relative energy among the computed polymorphs comes out at 60 meV/atom. Its crystal system is trigonal.


Entry 9:
Material: Pr4NdPt
Method: DFT, PBE
State: relaxed

Cell: 10.1237 14.5181 6.1186 Å, 90.00 121.28 90.00°
Space group C2/c (No. 15)
Symmetry-distinct sites (fractional):
Pr1 0.1527 0.2146 0.1544
Pr2 0.1692 0.0606 0.6223
Nd1 0.0000 0.4188 0.7500
Pt1 0.0000 0.3810 0.2500

Its crystal system is monoclinic.


Entry 10:
Material: PrNd6Pt2
Method: DFT, PBE
State: relaxed

Cell: 11.8024 5.5405 10.0305 Å, 90.00 124.73 90.00°
Space group C2/m (No. 12)
Symmetry-distinct sites (fractional):
Pr1 0.0000 0.0000 0.0000
Nd1 0.1193 0.0000 0.4342
Nd2 0.1321 0.5000 0.6837
Nd3 0.2049 0.5000 0.0760
Pt1 0.0854 0.5000 0.2633

Its crystal system is monoclinic.


no.,formation enthalpy at 0 K (eV/atom),magnetization (μB per cell),uncorrected energy (eV/atom)
1,0.0147,0.00,-4.755
2,-0.6904,0.00,-5.972
3,-0.6927,0.00,-5.887
4,-0.5098,0.00,-5.600
5,-0.5802,0.00,-5.672
6,-0.2682,0.62,-5.293
7,-0.4610,0.00,-5.486
8,-0.9942,0.00,-6.612
9,-0.3126,0.00,-5.300
10,-0.4431,0.00,-5.495